Record 1
A plane-wave DFT calculation with PBE was carried out for a relaxed Na3U3TeSe8 crystal.

Properties
Formation energy from raw total energies = -1356 kJ/mol of formula units

a b c (Å): 14.250 8.327 8.499
angles (deg): 90.00 123.98 90.00
Space group C2/m (No. 12)
Asymmetric unit:
Na 0.000 0.000 0.000 x2
Na 0.250 0.250 0.000 x4
U 0.000 0.500 0.500 x2
U 0.250 0.250 0.500 x4
Te 0.000 0.000 0.500 x2
Se 0.009 0.269 0.261 x8
Se 0.244 0.000 0.730 x4
Se 0.246 0.500 0.736 x4


Record 2
A plane-wave DFT calculation with PBE was carried out for a relaxed CaTcP2 crystal.

Properties
Excess energy over the best structure of this formula in the dataset = 58 meV per atom
ΔH_f (0 K) = -0.530 eV per atom

a b c (Å): 3.130 3.359 13.532
angles (deg): 90.00 90.00 90.00
Space group Imm2 (No. 44)
Asymmetric unit:
Ca 0.000 0.000 0.000 x2
Tc 0.000 0.500 0.256 x2
P 0.000 0.000 0.624 x2
P 0.000 0.500 0.830 x2